1.
ZrInCu3Te4, relaxed, DFT PBE-GGA; relative energy among the computed polymorphs = 0.00 eV per formula unit
1.0
-2.612 -4.557 -3.203
4.947 1.558 -6.252
7.885 -4.263 5.178
Te Zr In Cu
8 2 2 6
Direct
0.742 0.750 0.424 Te
0.904 0.523 0.769 Te
0.096 0.023 0.231 Te
0.468 0.750 0.971 Te
0.532 0.250 0.029 Te
0.096 0.477 0.231 Te
0.258 0.250 0.576 Te
0.904 0.977 0.769 Te
0.642 0.250 0.784 Zr
0.358 0.750 0.216 Zr
0.685 0.250 0.405 In
0.315 0.750 0.595 In
0.161 0.250 0.813 Cu
0.839 0.750 0.187 Cu
0.788 0.986 0.997 Cu
0.212 0.486 0.003 Cu
0.212 0.014 0.003 Cu
0.788 0.514 0.997 Cu

2.
K2RbTbAs2O8, relaxed, DFT PBE-GGA; raw total energy = -6.064 eV/atom
1.0
-5.446 -2.021 -0.949
4.478 -3.774 0.592
-1.210 -0.259 7.497
O As K Rb Tb
8 2 2 1 1
Direct
0.667 0.333 0.483 O
0.823 0.646 0.175 O
0.354 0.177 0.175 O
0.646 0.823 0.825 O
0.823 0.177 0.175 O
0.177 0.823 0.825 O
0.333 0.667 0.517 O
0.177 0.354 0.825 O
0.667 0.333 0.263 As
0.333 0.667 0.737 As
0.667 0.333 0.812 K
0.333 0.667 0.188 K
0.000 0.000 0.500 Rb
0.000 0.000 0.000 Tb

3.
PmYFe, relaxed, DFT PBE-GGA; raw total energy = -6.251 eV/atom
1.0
0.000 3.347 3.347
3.347 0.000 3.347
3.347 3.347 0.000
Fe Y Pm
1 1 1
Direct
0.000 0.000 0.000 Fe
0.750 0.750 0.750 Y
0.250 0.250 0.250 Pm

4.
NbTlAsO, relaxed, DFT PBE-GGA; relative energy among the computed polymorphs = 0.00 eV per formula unit
1.0
3.619 0.000 0.000
0.000 7.549 0.000
0.000 0.000 7.226
As Nb O Tl
2 2 2 2
Direct
0.000 0.884 0.316 As
0.000 0.116 0.816 As
0.000 0.828 0.977 Nb
0.000 0.172 0.477 Nb
0.500 0.742 0.920 O
0.500 0.258 0.420 O
0.500 0.626 0.541 Tl
0.500 0.374 0.041 Tl

5.
TlMo3Se5, relaxed, DFT PBE-GGA; raw total energy = -5.988 eV/atom
1.0
5.674 0.000 0.000
-2.837 4.914 0.000
0.000 0.000 7.576
Mo Se Tl
3 5 1
Direct
0.000 0.500 0.500 Mo
0.500 0.500 0.500 Mo
0.500 0.000 0.500 Mo
0.667 0.333 0.763 Se
0.333 0.667 0.763 Se
0.667 0.333 0.237 Se
0.333 0.667 0.237 Se
0.000 0.000 0.500 Se
0.000 0.000 0.000 Tl

6.
TbMg, relaxed, DFT PBE-GGA; raw total energy = -3.018 eV/atom
1.0
2.938 -1.696 0.000
0.000 3.393 0.000
0.000 0.000 5.662
Tb Mg
1 1
Direct
0.000 0.000 0.000 Tb
0.667 0.333 0.500 Mg

7.
SmReAsO, relaxed, DFT PBE-GGA; relative energy among the computed polymorphs = 0.00 eV per formula unit
1.0
-3.573 -1.202 -1.311
1.778 -2.423 -2.627
-0.010 -6.403 5.898
Sm As O Re
2 2 2 2
Direct
0.500 0.000 0.133 Sm
0.000 0.500 0.867 Sm
0.500 0.000 0.678 As
0.000 0.500 0.322 As
0.000 0.000 0.000 O
0.500 0.500 0.000 O
0.000 0.000 0.500 Re
0.500 0.500 0.500 Re

8.
LiScCuSb, relaxed, DFT PBE-GGA; relative energy among the computed polymorphs = 0.98 eV per formula unit
1.0
0.000 3.287 3.287
3.287 0.000 3.287
3.287 3.287 0.000
Sb Sc Li Cu
1 1 1 1
Direct
0.000 0.000 0.000 Sb
0.750 0.750 0.750 Sc
0.500 0.500 0.500 Li
0.250 0.250 0.250 Cu

9.
LaFeSn, relaxed, DFT PBE-GGA; raw total energy = -5.100 eV/atom
1.0
0.000 3.581 3.581
3.581 0.000 3.581
3.581 3.581 0.000
Fe Sn La
1 1 1
Direct
0.250 0.250 0.250 Fe
0.750 0.750 0.750 Sn
0.000 0.000 0.000 La

10.
NbAg2Ge, relaxed, DFT PBE-GGA; raw total energy = -4.857 eV/atom
1.0
2.761 1.931 3.165
-1.830 2.143 3.664
0.370 -1.887 4.204
Ag Ge Nb
2 1 1
Direct
0.000 0.000 0.000 Ag
0.750 0.750 0.750 Ag
0.500 0.500 0.500 Ge
0.250 0.250 0.250 Nb

11.
Tl2CuGeBr6, relaxed, DFT PBE-GGA; raw total energy = -2.894 eV/atom
1.0
0.000 5.293 5.293
5.293 0.000 5.293
5.293 5.293 0.000
Br Tl Ge Cu
6 2 1 1
Direct
0.754 0.754 0.246 Br
0.754 0.246 0.246 Br
0.246 0.754 0.246 Br
0.246 0.754 0.754 Br
0.754 0.246 0.754 Br
0.246 0.246 0.754 Br
0.250 0.250 0.250 Tl
0.750 0.750 0.750 Tl
0.500 0.500 0.500 Ge
0.000 0.000 0.000 Cu

12.
SmYB2Pt2N2, relaxed, DFT PBE-GGA; raw total energy = -7.794 eV/atom
1.0
3.761 0.000 0.000
0.000 3.761 0.000
0.000 0.000 7.636
N Sm B Pt Y
2 1 2 2 1
Direct
0.000 0.000 0.857 N
0.500 0.500 0.140 N
0.000 0.000 0.164 Sm
0.000 0.000 0.669 B
0.500 0.500 0.330 B
0.000 0.500 0.502 Pt
0.500 0.000 0.502 Pt
0.500 0.500 0.838 Y